(1)
Compound: Zn2CuAg2
Source: Alexandria via LeMat-Bulk
Functional: GGA-PBE
Structure: optimized geometry

The energy above the most stable polymorph in this dataset comes out at 99 meV/atom. The density of states at the Fermi level comes out at 0.37 states/eV/atom. Its magnetization is 0.00 μB per cell. The value obtained for the formation energy from the elements is 0.155 eV per atom. The space group is P4/mbm.

Cell: 7.1827 7.1827 3.2074 Å, 90.00 90.00 90.00°
Last column: nearest neighbours and their distance in Å.
Element x y z (fractional)
Zn 0.1571 0.3429 0.0000  6 Ag 2.58-2.69
Zn 0.3429 0.8429 0.0000  6 Ag 2.58-2.69
Zn 0.6571 0.1571 0.0000  6 Ag 2.58-2.69
Zn 0.8429 0.6571 0.0000  6 Ag 2.58-2.69
Cu 0.0000 0.0000 0.5000  4 Ag 2.76
Cu 0.5000 0.5000 0.5000  4 Ag 2.76
Ag 0.1440 0.6440 0.5000  6 Zn 2.58-2.69, 2 Cu 2.76
Ag 0.3560 0.1440 0.5000  6 Zn 2.58-2.69, 2 Cu 2.76
Ag 0.6440 0.8560 0.5000  6 Zn 2.58-2.69, 2 Cu 2.76
Ag 0.8560 0.3560 0.5000  6 Zn 2.58-2.69, 2 Cu 2.76

***

(2)
Compound: ZnCuAg2
Source: Alexandria via LeMat-Bulk
Functional: GGA-PBE
Structure: optimized geometry

The density of states at the Fermi level comes out at 0.35 states/eV/atom. Its magnetization is 0.00 μB per cell. The value obtained for the formation energy from the elements is 0.028 eV per atom. The space group is I4/mmm.

Cell: 4.0198 4.0198 7.7517 Å, 90.00 90.00 90.00°
Last column: nearest neighbours and their distance in Å.
Element x y z (fractional)
Zn 0.0000 0.0000 0.0000  8 Ag 2.79, 4 Cu 2.84
Zn 0.5000 0.5000 0.5000  8 Ag 2.79, 4 Cu 2.84
Cu 0.0000 0.0000 0.5000  8 Ag 2.79, 4 Zn 2.84
Cu 0.5000 0.5000 0.0000  8 Ag 2.79, 4 Zn 2.84
Ag 0.0000 0.5000 0.2500  4 Cu 2.79, 4 Zn 2.79, 4 Ag 2.84
Ag 0.0000 0.5000 0.7500  4 Cu 2.79, 4 Zn 2.79, 4 Ag 2.84
Ag 0.5000 0.0000 0.2500  4 Cu 2.79, 4 Zn 2.79, 4 Ag 2.84
Ag 0.5000 0.0000 0.7500  4 Cu 2.79, 4 Zn 2.79, 4 Ag 2.84

***

(3)
Compound: Zn2CuAg6
Source: Alexandria via LeMat-Bulk
Functional: GGA-PBE
Structure: optimized geometry

The density of states at the Fermi level comes out at 0.17 states/eV/atom. Its magnetization is 0.00 μB per cell. The value obtained for the formation energy from the elements is 0.061 eV per atom. The space group is C2/m.

Cell: 4.6309 4.6309 8.2269 Å, 91.83 91.83 59.03°
Last column: nearest neighbours and their distance in Å.
Element x y z (fractional)
Zn 0.1635 0.1635 0.0638  5 Ag 2.71-2.81, 3 Zn 2.80-2.89
Zn 0.8365 0.8365 0.9362  5 Ag 2.71-2.81, 3 Zn 2.80-2.89
Cu 0.5000 0.5000 0.5000  8 Ag 2.72-2.80
Ag 0.1649 0.1649 0.3955  1 Zn 2.73, 4 Ag 2.78-2.87, 3 Cu 2.79-2.80
Ag 0.1706 0.1706 0.7341  1 Zn 2.71, 7 Ag 2.78-2.87
Ag 0.4954 0.4954 0.1693  1 Cu 2.72, 4 Ag 2.78-2.79, 3 Zn 2.78-2.81
Ag 0.5046 0.5046 0.8307  1 Cu 2.72, 4 Ag 2.78-2.79, 3 Zn 2.78-2.81
Ag 0.8294 0.8294 0.2659  1 Zn 2.71, 7 Ag 2.78-2.87
Ag 0.8351 0.8351 0.6045  1 Zn 2.73, 4 Ag 2.78-2.87, 3 Cu 2.79-2.80

***

(4)
Compound: ZnCuAg4
Source: Alexandria via LeMat-Bulk
Functional: GGA-PBE
Structure: optimized geometry

The density of states at the Fermi level comes out at 0.43 states/eV/atom. Its magnetization is 0.00 μB per cell. The value obtained for the formation energy from the elements is 0.338 eV per atom. The space group is F-43m.

Cell: 5.4339 5.4339 5.4339 Å, 60.00 60.00 60.00°
Last column: nearest neighbours and their distance in Å.
Element x y z (fractional)
Zn 0.0000 0.0000 0.0000  12 Ag 3.19, 4 Cu 3.33
Cu 0.2500 0.2500 0.2500  12 Ag 3.19, 4 Zn 3.33
Ag 0.1251 0.6250 0.6250  6 Ag 2.72
Ag 0.6250 0.1251 0.6250  6 Ag 2.72
Ag 0.6250 0.6250 0.1251  6 Ag 2.72
Ag 0.6250 0.6250 0.6250  6 Ag 2.72

***

(5)
Compound: ZnCu2Ag
Source: Alexandria via LeMat-Bulk
Functional: GGA-PBE
Structure: optimized geometry

The density of states at the Fermi level comes out at 0.30 states/eV/atom. Its magnetization is 0.00 μB per cell. The value obtained for the formation energy from the elements is 0.030 eV per atom. The space group is Cmmm.

Cell: 5.4243 7.5741 2.7540 Å, 90.00 90.00 90.00°
Last column: nearest neighbours and their distance in Å.
Element x y z (fractional)
Zn 0.0000 0.0000 0.0000  8 Cu 2.71, 2 Ag 2.71, 2 Zn 2.75
Zn 0.5000 0.5000 0.0000  8 Cu 2.71, 2 Ag 2.71, 2 Zn 2.75
Cu 0.2500 0.2500 0.5000  4 Zn 2.71, 4 Ag 2.71, 4 Cu 2.71-2.75
Cu 0.2500 0.7500 0.5000  4 Zn 2.71, 4 Ag 2.71, 4 Cu 2.71-2.75
Cu 0.7500 0.2500 0.5000  4 Zn 2.71, 4 Ag 2.71, 4 Cu 2.71-2.75
Cu 0.7500 0.7500 0.5000  4 Zn 2.71, 4 Ag 2.71, 4 Cu 2.71-2.75
Ag 0.0000 0.5000 0.0000  8 Cu 2.71, 2 Zn 2.71, 2 Ag 2.75
Ag 0.5000 0.0000 0.0000  8 Cu 2.71, 2 Zn 2.71, 2 Ag 2.75

***

(6)
Compound: Zn3CuAg
Source: Alexandria via LeMat-Bulk
Functional: GGA-PBE
Structure: optimized geometry

The energy above the most stable polymorph in this dataset comes out at 362 meV/atom. The density of states at the Fermi level comes out at 0.33 states/eV/atom. Its magnetization is 0.00 μB per cell. The value obtained for the formation energy from the elements is 0.338 eV per atom. The space group is Pm-3m.

Cell: 4.5916 4.5916 4.5916 Å, 90.00 90.00 90.00°
Last column: nearest neighbours and their distance in Å.
Element x y z (fractional)
Zn 0.0000 0.0000 0.5000  2 Cu 2.30
Zn 0.0000 0.5000 0.0000  2 Cu 2.30
Zn 0.5000 0.0000 0.0000  2 Cu 2.30
Cu 0.0000 0.0000 0.0000  6 Zn 2.30
Ag 0.5000 0.5000 0.5000  12 Zn 3.25

***

Please write out number 2 again, unchanged.
Compound: ZnCuAg2
Source: Alexandria via LeMat-Bulk
Functional: GGA-PBE
Structure: optimized geometry

The density of states at the Fermi level comes out at 0.35 states/eV/atom. Its magnetization is 0.00 μB per cell. The value obtained for the formation energy from the elements is 0.028 eV per atom. The space group is I4/mmm.

Cell: 4.0198 4.0198 7.7517 Å, 90.00 90.00 90.00°
Last column: nearest neighbours and their distance in Å.
Element x y z (fractional)
Zn 0.0000 0.0000 0.0000  8 Ag 2.79, 4 Cu 2.84
Zn 0.5000 0.5000 0.5000  8 Ag 2.79, 4 Cu 2.84
Cu 0.0000 0.0000 0.5000  8 Ag 2.79, 4 Zn 2.84
Cu 0.5000 0.5000 0.0000  8 Ag 2.79, 4 Zn 2.84
Ag 0.0000 0.5000 0.2500  4 Cu 2.79, 4 Zn 2.79, 4 Ag 2.84
Ag 0.0000 0.5000 0.7500  4 Cu 2.79, 4 Zn 2.79, 4 Ag 2.84
Ag 0.5000 0.0000 0.2500  4 Cu 2.79, 4 Zn 2.79, 4 Ag 2.84
Ag 0.5000 0.0000 0.7500  4 Cu 2.79, 4 Zn 2.79, 4 Ag 2.84

***

Q: What is the formula in the fifth record?
A: ZnCu2Ag

***

Q: Look up the magnetization of the third one.
A: 0.00 μB per cell